Entry 1:
The following is a GGA-PBE calculation of a geometry-optimized Pm2Th2Pb structure, from Alexandria.

D(E_F) = 1.2711 states/eV/atom
total moment = 0.00 μB/f.u.
DFT total energy = -5.292 eV/atom

Structure (CIF):
```
data_Pm2Th2Pb
_chemical_formula_sum 'Pm2 Th2 Pb1'
_cell_length_a 4.528
_cell_length_b 4.528
_cell_length_c 9.065
_cell_angle_alpha 104.46
_cell_angle_beta 104.46
_cell_angle_gamma 90.00
_space_group_name_H-M_alt 'P 1'
_space_group_IT_number 1
_space_group_name_Hall 'P 1'
loop_
_atom_site_label
_atom_site_fract_x
_atom_site_fract_y
_atom_site_fract_z
Pb1 0.000 0.000 0.000
Pm1 0.412 0.412 0.824
Th1 0.750 0.250 0.500
Th2 0.250 0.750 0.500
Pm2 0.588 0.588 0.176
```

---

Entry 2:
The following is a GGA-PBE calculation of a geometry-optimized PmThPb2 structure, from Alexandria.

D(E_F) = 0.8092 states/eV/atom
total moment = 0.02 μB/f.u.
DFT total energy = -5.293 eV/atom

Structure (CIF):
```
data_PmThPb2
_chemical_formula_sum 'Pm1 Th1 Pb2'
_cell_length_a 3.610
_cell_length_b 3.610
_cell_length_c 9.164
_cell_angle_alpha 90.00
_cell_angle_beta 90.00
_cell_angle_gamma 90.00
_space_group_name_H-M_alt 'P 1'
_space_group_IT_number 1
_space_group_name_Hall 'P 1'
loop_
_atom_site_label
_atom_site_fract_x
_atom_site_fract_y
_atom_site_fract_z
Pb1 0.000 0.000 0.247
Pb2 0.000 0.000 0.753
Pm1 0.500 0.500 0.000
Th1 0.500 0.500 0.500
```

---

Entry 3:
The following is a GGA-PBE calculation of a geometry-optimized Pm2Th2Pb7 structure, from Alexandria.

D(E_F) = 0.8743 states/eV/atom
total moment = 0.00 μB/f.u.
DFT total energy = -4.502 eV/atom

Structure (CIF):
```
data_Pm2Th2Pb7
_chemical_formula_sum 'Pm2 Th2 Pb7'
_cell_length_a 7.479
_cell_length_b 7.090
_cell_length_c 7.479
_cell_angle_alpha 90.00
_cell_angle_beta 100.24
_cell_angle_gamma 90.00
_space_group_name_H-M_alt 'P 1'
_space_group_IT_number 1
_space_group_name_Hall 'P 1'
loop_
_atom_site_label
_atom_site_fract_x
_atom_site_fract_y
_atom_site_fract_z
Pb1 0.500 0.283 0.500
Pb2 0.500 0.286 0.000
Th1 0.813 0.500 0.813
Pb3 0.500 0.717 0.500
Pb4 0.000 0.000 0.000
Pm1 0.270 0.000 0.730
Pb5 0.000 0.286 0.500
Pm2 0.730 0.000 0.270
Pb6 0.500 0.714 0.000
Pb7 0.000 0.714 0.500
Th2 0.187 0.500 0.187
```